(1)
Computed, not measured: a relaxed structure of DyScMn at the PBE level of DFT.

The value obtained for the energy above the most stable polymorph in this dataset is 0.004 eV/atom. The calculation puts the energy relative to the elements at 0.1239 eV/atom. The calculation puts the total magnetization at 4.8 Bohr magnetons per cell.

The structure belongs to space group I4mm (No. 107); the cell edges are 3.363, 3.363 and 12.078 Å and the angles 90.00°, 90.00° and 90.00°. The inequivalent atoms are Dy at (0.000, 0.000, 0.000), Sc at (0.000, 0.000, 0.277) and Mn at (0.000, 0.000, 0.650).

(2)
Computed, not measured: a relaxed structure of Rb3PbO3 at the PBE level of DFT.

The value obtained for the energy above the most stable polymorph in this dataset is 0.101 eV/atom. The calculation puts the total magnetization at 3.0 Bohr magnetons per cell. The value obtained for the formation energy from raw total energies is -7.171 eV per formula unit.

The structure belongs to space group Cmcm (No. 63); the cell edges are 8.960, 15.494 and 5.963 Å and the angles 90.00°, 90.00° and 90.00°. The inequivalent atoms are Rb at (0.000, 0.168, 0.250), Rb at (0.247, 0.416, 0.250), Pb at (0.000, 0.333, 0.750), O at (0.000, 0.194, 0.750) and O at (0.209, 0.403, 0.750).